(1)
Here is a relaxed NaLa2AgSn2 crystal from OQMD. Energies are from GGA-PBE.

a = 4.976 Å, b = 4.976 Å, c = 7.870 Å
α = 90.00°, β = 90.00°, γ = 120.00°
Element x y z (fractional)
Na (0.333, 0.667, 0.527)
Sn (0.000, 0.000, 0.466)
Sn (0.333, 0.667, 0.970)
Ag (0.000, 0.000, 0.041)
La (0.667, 0.333, 0.755)
La (0.667, 0.333, 0.241)

Properties
* final energy: -25.18 eV/cell

***

(2)
Here is a relaxed LaNbAg crystal from OQMD. Energies are from GGA-PBE.

a = 4.906 Å, b = 4.906 Å, c = 4.906 Å
α = 60.00°, β = 60.00°, γ = 60.00°
Element x y z (fractional)
Nb (0.750, 0.750, 0.750)
La (0.000, 0.000, 0.000)
Ag (0.250, 0.250, 0.250)

Properties
* energy of formation: 1174 meV/atom
* E above lowest polymorph: 40.74 kJ per mole of atoms

***

(3)
Here is a relaxed LaNbAg crystal from OQMD. Energies are from GGA-PBE.

a = 4.914 Å, b = 4.914 Å, c = 4.914 Å
α = 60.00°, β = 60.00°, γ = 60.00°
Element x y z (fractional)
Ag (0.000, 0.000, 0.000)
Nb (0.750, 0.750, 0.750)
La (0.250, 0.250, 0.250)

Properties
* energy of formation: 752 meV/atom
* E above lowest polymorph: 0.00 kJ per mole of atoms

***

(4)
Here is a relaxed LaNdAg4 crystal from OQMD. Energies are from GGA-PBE.

a = 5.961 Å, b = 5.961 Å, c = 5.961 Å
α = 132.14°, β = 107.11°, γ = 92.00°
Element x y z (fractional)
Nd (0.966, 0.466, 0.500)
Ag (0.547, 0.834, 0.712)
Ag (0.954, 0.165, 0.788)
Ag (0.377, 0.165, 0.212)
Ag (0.122, 0.834, 0.288)
La (0.534, 0.534, 0.000)

Properties
* energy of formation: -293 meV/atom

***

(5)
Here is a relaxed LaNdAg2Se2O2 crystal from OQMD. Energies are from GGA-PBE.

a = 4.104 Å, b = 4.104 Å, c = 9.334 Å
α = 90.00°, β = 90.00°, γ = 90.00°
Element x y z (fractional)
Ag (0.500, 0.000, 0.500)
Ag (0.000, 0.500, 0.500)
Se (0.500, 0.500, 0.300)
Se (0.000, 0.000, 0.702)
O (0.500, 0.000, 0.998)
O (0.000, 0.500, 0.998)
Nd (0.500, 0.500, 0.873)
La (0.000, 0.000, 0.128)

Properties
* final energy: -47.95 eV/cell

***

(6)
Here is a relaxed LaNdAg2Pb2 crystal from OQMD. Energies are from GGA-PBE.

a = 4.910 Å, b = 4.910 Å, c = 7.759 Å
α = 90.00°, β = 90.00°, γ = 120.00°
Element x y z (fractional)
Pb (0.333, 0.667, 0.268)
Pb (0.667, 0.333, 0.773)
Ag (0.333, 0.667, 0.687)
Ag (0.667, 0.333, 0.179)
La (0.000, 0.000, 0.489)
Nd (0.000, 0.000, 0.990)

Properties
* final energy: -25.67 eV/cell